# 1
An optimized crystal structure of Ag9Br2F14. Source: Alexandria via LeMat-Bulk, functional PBE-GGA.

Summary:
space group = P-3 (147)
final energy = -3.1730 eV/atom
E_form (uncorrected) = -0.96 eV per atom

Cell lengths 6.846, 6.846, 10.417 Å; angles 90.00, 90.00, 120.00 degrees
Sites, in units of the cell vectors:
Ag 0.000 0.000 0.000
Ag 0.004 0.679 0.655
Ag 0.321 0.325 0.655
Ag 0.325 0.004 0.345
Ag 0.333 0.667 0.974
Ag 0.667 0.333 0.026
Ag 0.675 0.996 0.655
Ag 0.679 0.675 0.345
Ag 0.996 0.321 0.345
Br 0.333 0.667 0.230
Br 0.667 0.333 0.770
F 0.000 0.000 0.321
F 0.000 0.000 0.679
F 0.076 0.417 0.597
F 0.108 0.795 0.894
F 0.205 0.313 0.894
F 0.313 0.108 0.106
F 0.341 0.924 0.597
F 0.417 0.341 0.403
F 0.583 0.659 0.597
F 0.659 0.076 0.403
F 0.687 0.892 0.894
F 0.795 0.687 0.106
F 0.892 0.205 0.106
F 0.924 0.583 0.403

=====

# 2
An optimized crystal structure of KMnRe2Au. Source: Alexandria via LeMat-Bulk, functional PBE-GGA.

Summary:
space group = P4/mmm (123)
formation energy from the elements = 2.6298 eV/atom
final energy = -5.0584 eV/atom

Cell lengths 4.951, 4.951, 4.914 Å; angles 90.00, 90.00, 90.00 degrees
Sites, in units of the cell vectors:
K 0.000 0.000 0.000
Mn 0.500 0.500 0.000
Re 0.000 0.500 0.500
Re 0.500 0.000 0.500
Au 0.500 0.500 0.500

=====

# 3
An optimized crystal structure of Rb2ZrSb2S6. Source: Alexandria via LeMat-Bulk, functional PBE-GGA.

Summary:
space group = C2/m (12)
final energy = -4.7852 eV/atom
E_form (uncorrected) = -0.83 eV per atom

Cell lengths 6.589, 6.589, 8.467 Å; angles 104.94, 104.94, 67.49 degrees
Sites, in units of the cell vectors:
Rb 0.188 0.188 0.113
Rb 0.812 0.812 0.887
Zr 0.000 0.000 0.500
Sb 0.407 0.407 0.767
Sb 0.593 0.593 0.233
S 0.195 0.715 0.257
S 0.234 0.234 0.510
S 0.285 0.805 0.743
S 0.715 0.195 0.257
S 0.766 0.766 0.490
S 0.805 0.285 0.743

=====

# 4
An optimized crystal structure of K4ScOs. Source: Alexandria via LeMat-Bulk, functional PBE-GGA.

Summary:
space group = F-43m (216)
formation energy from the elements = 1.4379 eV/atom
final energy = -2.2207 eV/atom

Cell lengths 6.633, 6.633, 6.633 Å; angles 60.00, 60.00, 60.00 degrees
Sites, in units of the cell vectors:
K 0.123 0.123 0.123
K 0.123 0.123 0.632
K 0.123 0.632 0.123
K 0.632 0.123 0.123
Sc 0.500 0.500 0.500
Os 0.750 0.750 0.750

=====

# 5
An optimized crystal structure of ScZn2Re. Source: Alexandria via LeMat-Bulk, functional PBE-GGA.

Summary:
space group = C2/m (12)
energy above the most stable polymorph in this dataset = 11.42 kJ/mol of atoms
formation energy from the elements = 0.0314 eV/atom
final energy = -5.3005 eV/atom

Cell lengths 4.873, 4.873, 5.057 Å; angles 98.03, 98.03, 33.31 degrees
Sites, in units of the cell vectors:
Sc 0.000 0.000 0.000
Zn 0.243 0.243 0.723
Zn 0.757 0.757 0.277
Re 0.500 0.500 0.500

=====

# 6
An optimized crystal structure of Na2Ac3Tl7. Source: Alexandria via LeMat-Bulk, functional PBE-GGA.

Summary:
space group = P2/m (10)
formation energy from the elements = -0.1615 eV/atom
final energy = -2.7888 eV/atom

Cell lengths 4.872, 4.898, 16.884 Å; angles 90.00, 98.28, 90.00 degrees
Sites, in units of the cell vectors:
Na 0.134 0.000 0.269
Na 0.866 0.000 0.731
Ac 0.000 0.000 0.000
Ac 0.304 0.500 0.608
Ac 0.696 0.500 0.392
Tl 0.078 0.500 0.155
Tl 0.223 0.000 0.445
Tl 0.422 0.000 0.845
Tl 0.500 0.500 0.000
Tl 0.578 0.000 0.155
Tl 0.777 0.000 0.555
Tl 0.922 0.500 0.845

=====

# 7
An optimized crystal structure of CdAg2Te. Source: Alexandria via LeMat-Bulk, functional PBE-GGA.

Summary:
space group = C2/m (12)
energy above the most stable polymorph in this dataset = 3.63 kJ/mol of atoms
final energy = -2.4041 eV/atom
E_form (uncorrected) = 0.04 eV per atom

Cell lengths 4.847, 4.847, 6.429 Å; angles 98.13, 98.13, 37.62 degrees
Sites, in units of the cell vectors:
Cd 0.000 0.000 0.000
Ag 0.258 0.258 0.795
Ag 0.742 0.742 0.205
Te 0.500 0.500 0.500

=====

# 8
An optimized crystal structure of TlSeS2N. Source: Alexandria via LeMat-Bulk, functional PBE-GGA.

Summary:
space group = P4/mmm (123)
energy above the most stable polymorph in this dataset = 75.56 kJ/mol of atoms
final energy = -2.8477 eV/atom
E_form (uncorrected) = 1.64 eV per atom

Cell lengths 5.211, 5.211, 4.100 Å; angles 90.00, 90.00, 90.00 degrees
Sites, in units of the cell vectors:
Tl 0.000 0.000 0.000
Se 0.500 0.500 0.500
S 0.000 0.500 0.000
S 0.500 0.000 0.000
N 0.000 0.000 0.500